A plane-wave DFT calculation with PBE was carried out for a geometry-optimized MgOsBr2 structure.

Calculated values
SG: No. 216
ΔE to the lowest computed polymorph, meV/atom: 1074.6

a = 6.996 Å, b = 6.996 Å, c = 6.996 Å
α = 90.00°, β = 90.00°, γ = 90.00°
Atoms (fractional coordinates):
Mg: 0.000 0.000 0.000
Mg: 0.000 0.500 0.500
Mg: 0.500 0.000 0.500
Mg: 0.500 0.500 0.000
Os: 0.250 0.250 0.750
Os: 0.250 0.750 0.250
Os: 0.750 0.250 0.250
Os: 0.750 0.750 0.750
Br: 0.000 0.000 0.500
Br: 0.000 0.500 0.000
Br: 0.250 0.250 0.250
Br: 0.250 0.750 0.750
Br: 0.500 0.000 0.000
Br: 0.500 0.500 0.500
Br: 0.750 0.250 0.750
Br: 0.750 0.750 0.250



A plane-wave DFT calculation with PBE was carried out for a geometry-optimized MgOsBr2 structure.

Calculated values
SG: No. 119
ΔE to the lowest computed polymorph, meV/atom: 744.3

a = 3.788 Å, b = 3.788 Å, c = 11.805 Å
α = 90.00°, β = 90.00°, γ = 90.00°
Atoms (fractional coordinates):
Mg: 0.000 0.000 0.000
Mg: 0.500 0.500 0.500
Os: 0.000 0.500 0.750
Os: 0.500 0.000 0.250
Br: 0.000 0.000 0.500
Br: 0.000 0.500 0.250
Br: 0.500 0.000 0.750
Br: 0.500 0.500 0.000



A plane-wave DFT calculation with PBE was carried out for a geometry-optimized MgOsBr2 structure.

Calculated values
SG: No. 166
ΔE to the lowest computed polymorph, meV/atom: 513.0

a = 3.769 Å, b = 3.769 Å, c = 27.778 Å
α = 90.00°, β = 90.00°, γ = 120.00°
Atoms (fractional coordinates):
Mg: 0.000 0.000 0.000
Mg: 0.333 0.667 0.667
Mg: 0.667 0.333 0.333
Os: 0.000 0.000 0.500
Os: 0.333 0.667 0.167
Os: 0.667 0.333 0.833
Br: 0.000 0.000 0.120
Br: 0.000 0.000 0.880
Br: 0.333 0.667 0.547
Br: 0.333 0.667 0.787
Br: 0.667 0.333 0.213
Br: 0.667 0.333 0.453



A plane-wave DFT calculation with PBE was carried out for a geometry-optimized Mg2OsBr structure.

Calculated values
SG: No. 122
ΔE to the lowest computed polymorph, meV/atom: 668.3

a = 7.349 Å, b = 7.349 Å, c = 5.890 Å
α = 90.00°, β = 90.00°, γ = 90.00°
Atoms (fractional coordinates):
Mg: 0.248 0.250 0.125
Mg: 0.250 0.748 0.375
Mg: 0.250 0.752 0.875
Mg: 0.252 0.250 0.625
Mg: 0.748 0.750 0.625
Mg: 0.750 0.248 0.875
Mg: 0.750 0.252 0.375
Mg: 0.752 0.750 0.125
Os: 0.000 0.000 0.000
Os: 0.000 0.500 0.250
Os: 0.500 0.000 0.750
Os: 0.500 0.500 0.500
Br: 0.000 0.000 0.500
Br: 0.000 0.500 0.750
Br: 0.500 0.000 0.250
Br: 0.500 0.500 0.000



How do the records compare in formation energy without anion corrections? In the order shown, they have 1073, 743, 512, 603 meV per atom.